Record 1
Below is PrNd after structural relaxation, with properties calculated at the GGA-PBE level.

Unit cell a=3.7184 b=3.7184 c=11.9535 alpha=90.00 beta=90.00 gamma=120.00
Closest atoms and distances in Å follow each position.
Positions (direct):
Pr1 0.0000 0.0000 0.5000  6 Nd 3.68, 6 Pr 3.72
Pr2 0.0000 0.0000 0.0000  6 Nd 3.68, 6 Pr 3.72
Nd1 0.3333 0.6667 0.2500  6 Pr 3.68, 6 Nd 3.72
Nd2 0.6667 0.3333 0.7500  6 Pr 3.68, 6 Nd 3.72

Properties
Energy above the lowest structure with this stoichiometry ... 0.0 meV per atom
Energy of formation from the pure elements ... 0 kJ/mol of atoms
Magnetic moment ... 0.00 Bohr magnetons per cell

---

Record 2
Below is PrNd8 after structural relaxation, with properties calculated at the GGA-PBE level.

Unit cell a=5.2128 b=8.2429 c=8.2429 alpha=84.26 beta=71.57 gamma=71.57
Closest atoms and distances in Å follow each position.
Positions (direct):
Pr1 0.0000 0.0000 0.0000  12 Nd 3.69
Nd1 0.3331 0.0000 0.3337  10 Nd 3.68-3.69, 2 Pr 3.69
Nd2 0.6669 0.0000 0.6663  10 Nd 3.68-3.69, 2 Pr 3.69
Nd3 0.6669 0.6663 0.0000  10 Nd 3.68-3.69, 2 Pr 3.69
Nd4 0.0000 0.6664 0.3336  11 Nd 3.68-3.69, 1 Pr 3.69
Nd5 0.3336 0.6664 0.6664  11 Nd 3.68-3.69, 1 Pr 3.69
Nd6 0.6664 0.3336 0.3336  11 Nd 3.68-3.69, 1 Pr 3.69
Nd7 0.0000 0.3336 0.6664  11 Nd 3.68-3.69, 1 Pr 3.69
Nd8 0.3331 0.3337 0.0000  10 Nd 3.68-3.69, 2 Pr 3.69

Properties
Energy of formation from the pure elements ... 1 kJ/mol of atoms
Magnetic moment ... 0.00 Bohr magnetons per cell

---

Record 3
Below is Pr3Nd5 after structural relaxation, with properties calculated at the GGA-PBE level.

Unit cell a=10.4511 b=7.3841 c=7.3841 alpha=90.00 beta=90.00 gamma=90.00
Closest atoms and distances in Å follow each position.
Positions (direct):
Pr1 0.5000 0.9994 0.0006  6 Pr 3.68-3.70, 6 Nd 3.69-3.70
Pr2 0.5000 0.9994 0.4995  4 Pr 3.68-3.70, 8 Nd 3.68-3.70
Pr3 0.7506 0.2500 0.7500  8 Nd 3.69-3.70, 4 Pr 3.69-3.70
Pr4 0.2494 0.2500 0.7500  8 Nd 3.69-3.70, 4 Pr 3.69-3.70
Pr5 0.5000 0.5005 0.0006  4 Pr 3.68-3.70, 8 Nd 3.68-3.70
Pr6 0.0000 0.5006 0.4994  10 Nd 3.68-3.70, 2 Pr 3.69
Nd1 0.0000 0.9994 0.0006  10 Nd 3.68-3.70, 2 Pr 3.69
Nd2 0.0000 0.9994 0.4994  4 Pr 3.68-3.70, 8 Nd 3.68-3.70
Nd3 0.7506 0.2500 0.2500  6 Nd 3.69-3.70, 6 Pr 3.69-3.70
Nd4 0.2494 0.2500 0.2500  6 Nd 3.69-3.70, 6 Pr 3.69-3.70
Nd5 0.0000 0.5006 0.0006  4 Pr 3.68-3.70, 8 Nd 3.68-3.70
Nd6 0.5000 0.5006 0.4994  6 Pr 3.68-3.70, 6 Nd 3.69-3.70
Nd7 0.7505 0.7500 0.2500  8 Nd 3.69, 4 Pr 3.69
Nd8 0.2495 0.7500 0.2500  8 Nd 3.69, 4 Pr 3.69
Nd9 0.7506 0.7500 0.7500  6 Nd 3.69-3.70, 6 Pr 3.69-3.70
Nd10 0.2494 0.7500 0.7500  6 Nd 3.69-3.70, 6 Pr 3.69-3.70

Properties
Energy above the lowest structure with this stoichiometry ... 0.0 meV per atom
Energy of formation from the pure elements ... 1 kJ/mol of atoms
Magnetic moment ... 0.00 Bohr magnetons per cell

---

Record 4
Below is PrNd after structural relaxation, with properties calculated at the GGA-PBE level.

Unit cell a=4.1593 b=4.1593 c=4.1593 alpha=90.00 beta=90.00 gamma=90.00
Closest atoms and distances in Å follow each position.
Positions (direct):
Pr1 0.0000 0.0000 0.0000  8 Nd 3.60
Nd1 0.5000 0.5000 0.5000  8 Pr 3.60

Properties
Energy above the lowest structure with this stoichiometry ... 136.6 meV per atom
Energy of formation from the pure elements ... 13 kJ/mol of atoms
Magnetic moment ... 0.74 Bohr magnetons per cell

---

Record 5
Below is Pr2Nd13 after structural relaxation, with properties calculated at the GGA-PBE level.

Unit cell a=6.8962 b=9.0270 c=9.3191 alpha=111.12 beta=82.55 gamma=99.93
Closest atoms and distances in Å follow each position.
Positions (direct):
Pr1 0.8003 0.8031 0.6013  7 Nd 3.29-3.67
Pr2 0.1997 0.1969 0.3987  7 Nd 3.29-3.67
Nd1 0.7633 0.5787 0.0264  10 Nd 3.48-3.69
Nd2 0.2367 0.4213 0.9736  10 Nd 3.48-3.69
Nd3 0.0000 0.0000 0.0000  12 Nd 3.61-3.95, 2 Pr 3.82
Nd4 0.3335 0.9999 0.6670  11 Nd 3.61-3.96, 3 Pr 3.82-3.83
Nd5 0.6665 0.0001 0.3330  11 Nd 3.61-3.96, 3 Pr 3.82-3.83
Nd6 0.0969 0.5795 0.6935  8 Nd 3.48-3.70, 2 Pr 3.48-3.67
Nd7 0.9031 0.4205 0.3065  8 Nd 3.48-3.70, 2 Pr 3.48-3.67
Nd8 0.4301 0.5787 0.3591  8 Nd 3.48-3.70, 2 Pr 3.48-3.66
Nd9 0.5699 0.4213 0.6409  8 Nd 3.48-3.70, 2 Pr 3.48-3.66
Nd10 0.4674 0.8028 0.9353  6 Nd 3.29-3.66, 1 Pr 3.62
Nd11 0.5326 0.1972 0.0647  6 Nd 3.29-3.66, 1 Pr 3.62
Nd12 0.8661 0.1979 0.7326  2 Pr 3.29-3.62, 5 Nd 3.48-3.66
Nd13 0.1339 0.8021 0.2674  2 Pr 3.29-3.62, 5 Nd 3.48-3.66

Properties
Energy of formation from the pure elements ... 4 kJ/mol of atoms
Magnetic moment ... 0.00 Bohr magnetons per cell

---

Record 6
Below is Pr5Nd4 after structural relaxation, with properties calculated at the GGA-PBE level.

Unit cell a=3.7579 b=9.4241 c=9.4241 alpha=87.72 beta=78.50 gamma=78.50
Closest atoms and distances in Å follow each position.
Positions (direct):
Pr1 0.0000 0.0000 0.0000  10 Pr 3.61-3.76
Pr2 0.3332 0.0000 0.3335  6 Pr 3.60-3.76, 4 Nd 3.62
Pr3 0.6668 0.0000 0.6665  6 Pr 3.60-3.76, 4 Nd 3.62
Pr4 0.3332 0.3335 0.0000  6 Pr 3.60-3.76, 4 Nd 3.62
Pr5 0.6668 0.6665 0.0000  6 Pr 3.60-3.76, 4 Nd 3.62
Nd1 0.0000 0.3346 0.6654  6 Nd 3.59-3.76, 4 Pr 3.62
Nd2 0.0000 0.6654 0.3346  6 Nd 3.59-3.76, 4 Pr 3.62
Nd3 0.3346 0.6654 0.6654  6 Nd 3.59-3.76, 4 Pr 3.62
Nd4 0.6654 0.3346 0.3346  6 Nd 3.59-3.76, 4 Pr 3.62

Properties
Energy above the lowest structure with this stoichiometry ... 86.3 meV per atom
Energy of formation from the pure elements ... 9 kJ/mol of atoms
Magnetic moment ... 0.00 Bohr magnetons per cell

---

Record 7
Below is Pr5Nd6 after structural relaxation, with properties calculated at the GGA-PBE level.

Unit cell a=9.5126 b=8.2986 c=6.5299 alpha=79.20 beta=70.91 gamma=55.03
Closest atoms and distances in Å follow each position.
Positions (direct):
Pr1 0.5000 0.0000 0.5000  6 Pr 3.55-3.71, 6 Nd 3.60-3.68
Pr2 0.3704 0.2591 0.0000  5 Pr 3.52-3.72, 6 Nd 3.57-3.66
Pr3 0.6296 0.7409 0.0000  5 Pr 3.52-3.72, 6 Nd 3.57-3.66
Pr4 0.2393 0.5215 0.5000  6 Nd 3.48-3.66, 3 Pr 3.55-3.72
Pr5 0.7607 0.4785 0.5000  6 Nd 3.48-3.66, 3 Pr 3.55-3.72
Nd1 0.8288 0.0000 0.6794  3 Nd 3.33-3.64, 5 Pr 3.60-3.68
Nd2 0.1712 0.0000 0.3206  3 Nd 3.33-3.64, 5 Pr 3.60-3.68
Nd3 0.3095 0.7369 0.8329  3 Nd 3.38-3.64, 5 Pr 3.48-3.66
Nd4 0.9536 0.7369 0.1671  3 Nd 3.38-3.64, 5 Pr 3.48-3.66
Nd5 0.6905 0.2631 0.1671  3 Nd 3.38-3.64, 5 Pr 3.48-3.66
Nd6 0.0464 0.2631 0.8329  3 Nd 3.38-3.64, 5 Pr 3.48-3.66

Properties
Energy above the lowest structure with this stoichiometry ... 24.8 meV per atom
Energy of formation from the pure elements ... 12 kJ/mol of atoms
Magnetic moment ... 0.00 Bohr magnetons per cell

---

Record 8
Below is Pr2Nd after structural relaxation, with properties calculated at the GGA-PBE level.

Unit cell a=3.7144 b=3.7144 c=18.2090 alpha=84.15 beta=84.15 gamma=60.00
Closest atoms and distances in Å follow each position.
Positions (direct):
Pr1 0.8052 0.8052 0.5843  3 Nd 3.69, 9 Pr 3.71-3.73
Pr2 0.1948 0.1948 0.4157  3 Nd 3.69, 9 Pr 3.71-3.73
Pr3 0.3615 0.3615 0.9156  3 Nd 3.68, 9 Pr 3.71-3.73
Pr4 0.6385 0.6385 0.0844  3 Nd 3.68, 9 Pr 3.71-3.73
Nd1 0.9168 0.9168 0.2497  6 Pr 3.68-3.69, 6 Nd 3.71
Nd2 0.0832 0.0832 0.7503  6 Pr 3.68-3.69, 6 Nd 3.71

Properties
Energy above the lowest structure with this stoichiometry ... 0.0 meV per atom
Energy of formation from the pure elements ... 1 kJ/mol of atoms
Magnetic moment ... 0.00 Bohr magnetons per cell

---

Record 9
Below is Pr7Nd6 after structural relaxation, with properties calculated at the GGA-PBE level.

Unit cell a=6.8101 b=6.8101 c=12.2780 alpha=73.90 beta=73.90 gamma=60.00
Closest atoms and distances in Å follow each position.
Positions (direct):
Pr1 0.0000 0.0000 0.0000  6 Pr 3.45
Pr2 0.9065 0.4258 0.7612  5 Pr 3.27-3.54, 2 Nd 3.58-3.66
Pr3 0.4258 0.9065 0.7612  5 Pr 3.27-3.54, 2 Nd 3.58-3.66
Pr4 0.9065 0.9065 0.7612  5 Pr 3.27-3.54, 2 Nd 3.58-3.66
Pr5 0.0935 0.0935 0.2388  5 Pr 3.27-3.54, 2 Nd 3.58-3.66
Pr6 0.0935 0.5742 0.2388  5 Pr 3.27-3.54, 2 Nd 3.58-3.66
Pr7 0.5742 0.0935 0.2388  5 Pr 3.27-3.54, 2 Nd 3.58-3.66
Nd1 0.8360 0.8360 0.4920  6 Pr 3.58-3.66, 3 Nd 3.94
Nd2 0.1640 0.1640 0.5080  6 Pr 3.58-3.66, 3 Nd 3.94
Nd3 0.6483 0.6483 0.0552  1 Nd 3.58, 6 Pr 3.91-3.98
Nd4 0.3517 0.3517 0.9448  1 Nd 3.58, 6 Pr 3.91-3.98
Nd5 0.5457 0.5457 0.3628  1 Nd 3.19
Nd6 0.4543 0.4543 0.6372  1 Nd 3.19

Properties
Energy of formation from the pure elements ... 21 kJ/mol of atoms
Magnetic moment ... 0.00 Bohr magnetons per cell

---

Record 10
Below is PrNd4 after structural relaxation, with properties calculated at the GGA-PBE level.

Unit cell a=5.8700 b=5.8700 c=5.8700 alpha=90.00 beta=90.00 gamma=90.00
Closest atoms and distances in Å follow each position.
Positions (direct):
Pr1 0.5000 0.5000 0.5000  6 Nd 2.93
Nd1 0.0000 0.0000 0.0000  12 Nd 4.15
Nd2 0.5000 0.0000 0.5000  2 Pr 2.93
Nd3 0.0000 0.5000 0.5000  2 Pr 2.93
Nd4 0.5000 0.5000 0.0000  2 Pr 2.93

Properties
Energy above the lowest structure with this stoichiometry ... 583.8 meV per atom
Energy of formation from the pure elements ... 58 kJ/mol of atoms
Magnetic moment ... 0.01 Bohr magnetons per cell